DFT (PBE) results for crystalline Na5B8C2 at its relaxed geometry.

Volume ... 10.76 Å³/atom
Magnetic moment ... 0.0 μB/f.u.
DOS(E_F) ... 7.25 states/eV/cell
Relative energy among the computed polymorphs ... 0.018 eV per atom
Symmetry ... P2_1/m (11)
Formation enthalpy at 0 K ... 0.1884 eV/atom

Cell: 5.2845 8.6720 7.5213 Å, 90.00 110.56 90.00°
With the nearest neighbours (Å) after each atom.
Sites, in units of the cell vectors:
Na 0.0000 0.0000 0.0000  10 B 2.67-2.92, 2 C 2.80, 4 Na 2.82-2.99
Na 0.0000 0.5000 0.0000  10 B 2.67-2.92, 2 C 2.80, 4 Na 2.82-2.99
Na 0.1982 0.0041 0.4010  10 B 2.69-2.95, 2 C 2.71-2.82, 5 Na 2.81-3.01
Na 0.1982 0.4959 0.4010  10 B 2.69-2.95, 2 C 2.71-2.82, 5 Na 2.81-3.01
Na 0.3987 0.5073 0.8003  9 B 2.67-2.91, 3 C 2.69-2.76, 4 Na 2.81-2.99
Na 0.3987 0.9927 0.8003  9 B 2.67-2.91, 3 C 2.69-2.76, 4 Na 2.81-2.99
Na 0.6013 0.0073 0.1997  9 B 2.67-2.91, 3 C 2.69-2.76, 4 Na 2.81-2.99
Na 0.6013 0.4927 0.1997  9 B 2.67-2.91, 3 C 2.69-2.76, 4 Na 2.81-2.99
Na 0.8018 0.5041 0.5990  10 B 2.69-2.95, 2 C 2.71-2.82, 5 Na 2.81-3.01
Na 0.8018 0.9959 0.5990  10 B 2.69-2.95, 2 C 2.71-2.82, 5 Na 2.81-3.01
B 0.0605 0.7500 0.8109  3 B 1.72-1.81
B 0.0799 0.2500 0.7998  2 C 1.61, 1 B 1.73
B 0.1244 0.7500 0.5916  1 C 1.63, 2 B 1.72-1.80
B 0.2490 0.7500 0.2015  3 B 1.73-1.77
B 0.2672 0.2500 0.1924  1 C 1.64, 2 B 1.72-1.80
B 0.3744 0.7500 0.0120  1 C 1.56
B 0.4360 0.2500 0.6112  1 C 1.55
B 0.4484 0.7500 0.5877  3 B 1.72-1.80
B 0.5516 0.2500 0.4123  3 B 1.72-1.80
B 0.5640 0.7500 0.3888  1 C 1.55
B 0.6256 0.2500 0.9880  1 C 1.56
B 0.7328 0.7500 0.8076  1 C 1.64, 2 B 1.72-1.80
B 0.7510 0.2500 0.7985  3 B 1.73-1.77
B 0.8756 0.2500 0.4084  1 C 1.63, 2 B 1.72-1.80
B 0.9201 0.7500 0.2002  2 C 1.61, 1 B 1.73
B 0.9395 0.2500 0.1891  3 B 1.72-1.81
C 0.1387 0.2500 0.6043  3 B 1.55-1.63
C 0.3345 0.2500 0.9957  3 B 1.56-1.64
C 0.6655 0.7500 0.0043  3 B 1.56-1.64
C 0.8613 0.7500 0.3957  3 B 1.55-1.63